1.
Density functional theory data (PBE-GGA) for crystalline HoErCdTc at its relaxed geometry.

Values from the calculation:
For the density of states at the Fermi level, the calculation gives 12.1 states/eV/cell. Its formation energy from the elements is -116 meV per atom. The total magnetization comes out at 0.0 μB/f.u. As for the volume: 88.8 Å³/f.u. The mass density comes out at 10.1 g cm⁻³.

Geometry as CIF:
```
data_HoErCdTc
_chemical_formula_sum 'Ho4 Er4 Cd4 Tc4'
_cell_length_a 7.0826
_cell_length_b 7.0826
_cell_length_c 7.0826
_cell_angle_alpha 90.00
_cell_angle_beta 90.00
_cell_angle_gamma 90.00
_space_group_name_H-M_alt 'F -4 3 m'
_space_group_IT_number 216
_space_group_name_Hall 'F -4 2 3'
loop_
_atom_site_label
_atom_site_type_symbol
_atom_site_fract_x
_atom_site_fract_y
_atom_site_fract_z
_atom_site_occupancy
Ho1 Ho 0.0000 0.0000 0.0000 1
Er1 Er 0.0000 0.0000 0.5000 1
Cd1 Cd 0.2500 0.2500 0.7500 1
Tc1 Tc 0.2500 0.2500 0.2500 1
```



2.
Density functional theory data (PBE-GGA) for crystalline AgHg2Se2 at its relaxed geometry.

Values from the calculation:
The formation energy (no corrections) is 0.0305 eV/atom. For the density of states at the Fermi level, the calculation gives 4.6 states/eV/cell. The polymorph energy (0 for the lowest one) is 61 meV per atom. The total magnetization comes out at 0.0 μB/f.u. As for the volume: 128.0 Å³/f.u. The mass density comes out at 8.7 g cm⁻³.

Geometry as CIF:
```
data_AgHg2Se2
_chemical_formula_sum 'Ag2 Hg4 Se4'
_cell_length_a 7.7669
_cell_length_b 7.7669
_cell_length_c 4.2445
_cell_angle_alpha 90.00
_cell_angle_beta 90.00
_cell_angle_gamma 90.00
_space_group_name_H-M_alt 'P 4/m b m'
_space_group_IT_number 127
_space_group_name_Hall '-P 4 2ab'
loop_
_atom_site_label
_atom_site_type_symbol
_atom_site_fract_x
_atom_site_fract_y
_atom_site_fract_z
_atom_site_occupancy
Ag1 Ag 0.0000 0.0000 0.0000 1
Hg1 Hg 0.1249 0.3751 0.5000 1
Se1 Se 0.2192 0.7192 0.0000 1
```



3.
Density functional theory data (PBE-GGA) for crystalline CeGe2Sb at its relaxed geometry.

Values from the calculation:
The formation energy (no corrections) is -0.2762 eV/atom. For the density of states at the Fermi level, the calculation gives 4.7 states/eV/cell. The polymorph energy (0 for the lowest one) is 244 meV per atom. The total magnetization comes out at 0.4 μB/f.u. As for the volume: 92.2 Å³/f.u. The mass density comes out at 7.3 g cm⁻³.

Geometry as CIF:
```
data_CeGe2Sb
_chemical_formula_sum 'Ce1 Ge2 Sb1'
_cell_length_a 3.8615
_cell_length_b 3.8615
_cell_length_c 6.1801
_cell_angle_alpha 90.00
_cell_angle_beta 90.00
_cell_angle_gamma 90.00
_space_group_name_H-M_alt 'P 4/m m m'
_space_group_IT_number 123
_space_group_name_Hall '-P 4 2'
loop_
_atom_site_label
_atom_site_type_symbol
_atom_site_fract_x
_atom_site_fract_y
_atom_site_fract_z
_atom_site_occupancy
Ce1 Ce 0.0000 0.0000 0.0000 1
Ge1 Ge 0.5000 0.5000 0.2720 1
Sb1 Sb 0.0000 0.0000 0.5000 1
```